The following is a DFT calculation (PBE) of crystalline MgCu2 at its relaxed geometry.

Output
DFT formation energy in meV per atom: -19
Density of states at the Fermi level in states/eV per cell: 1.574

a b c (Å): 3.7368 3.7368 6.5664
angles (deg): 90.00 90.00 90.00
Space group P4/nmm (No. 129, origin choice 2)
Inequivalent atoms, fractional coordinates:
1 Mg 0.2500 0.2500 0.1624 x2
2 Cu 0.2500 0.2500 0.7486 x2
3 Cu 0.2500 0.7500 0.5000 x2


The following is a DFT calculation (PBE) of crystalline Mg2AlTcPb at its relaxed geometry.

Output
DFT formation energy in meV per atom: 639
Density of states at the Fermi level in states/eV per cell: 2.804

a b c (Å): 5.0747 5.0747 4.6813
angles (deg): 90.00 90.00 90.00
Space group P4/mmm (No. 123)
Inequivalent atoms, fractional coordinates:
1 Mg 0.0000 0.5000 0.0000 x2
2 Al 0.0000 0.0000 0.0000 x1
3 Tc 0.0000 0.0000 0.5000 x1
4 Pb 0.5000 0.5000 0.5000 x1